# Ta3Nb6Mo (GGA-PBE, optimized geometry)
# DFT formation energy = -44 meV per atom
# D(E_F) = 12.83 states/eV/f.u.
# crystal system = monoclinic
# energy above the most stable polymorph in this dataset = 0 meV per atom
# uncorrected energy = -10.7243 eV per atom
data_Ta3Nb6Mo
_chemical_formula_sum 'Ta6 Nb12 Mo2'
_space_group_name_H-M_alt 'P 1'
_space_group_IT_number 1
_cell_length_a 8.0749
_cell_length_b 4.6604
_cell_length_c 9.8995
_cell_angle_alpha 90.00
_cell_angle_beta 105.42
_cell_angle_gamma 90.00
loop_
_space_group_symop_operation_xyz
'x,y,z'
loop_
_atom_site_label
_atom_site_fract_x
_atom_site_fract_y
_atom_site_fract_z
Ta1 0.0484 0.2500 0.3992
Ta2 0.1466 0.7500 0.1996
Ta3 0.2483 0.2500 0.0043
Ta4 0.7517 0.7500 0.9957
Ta5 0.8534 0.2500 0.8004
Ta6 0.9516 0.7500 0.6008
Nb1 0.0518 0.7500 0.8990
Nb2 0.1561 0.2500 0.6974
Nb3 0.2575 0.7500 0.5011
Nb4 0.3505 0.7500 0.8040
Nb5 0.3552 0.2500 0.3071
Nb6 0.4519 0.7500 0.1056
Nb7 0.5481 0.2500 0.8944
Nb8 0.6448 0.7500 0.6929
Nb9 0.6495 0.2500 0.1960
Nb10 0.7425 0.2500 0.4989
Nb11 0.8439 0.7500 0.3026
Nb12 0.9482 0.2500 0.1010
Mo1 0.4505 0.2500 0.5999
Mo2 0.5495 0.7500 0.4001